Entry 1:
LiPrB12 | Alexandria | GGA-PBE | optimized geometry; SG = P4/mmm; total magnetization = 0.00 μB per formula unit; ΔE_f = -4.2 eV per formula unit; ρ = 3.23 g/cm³
1.0
4.1470 0.0000 0.0000
0.0000 4.1470 0.0000
0.0000 0.0000 8.2854
Li Pr B
1 1 12
Direct
0.0000 0.0000 0.0000
0.0000 0.0000 0.5000
0.2010 0.5000 0.2499
0.2010 0.5000 0.7501
0.5000 0.2010 0.2499
0.5000 0.2010 0.7501
0.5000 0.5000 0.1003
0.5000 0.5000 0.3997
0.5000 0.5000 0.6003
0.5000 0.5000 0.8997
0.5000 0.7990 0.2499
0.5000 0.7990 0.7501
0.7990 0.5000 0.2499
0.7990 0.5000 0.7501


Entry 2:
LiPr2B10 | Alexandria | GGA-PBE | optimized geometry; SG = Pbam; total magnetization = 0.00 μB per formula unit; ΔE_f = -5.2 eV per formula unit; ρ = 4.79 g/cm³
1.0
5.7529 0.0000 0.0000
0.0000 11.4057 0.0000
0.0000 0.0000 4.1959
Li Pr B
2 4 20
Direct
0.0000 0.0000 0.0000
0.5000 0.5000 0.0000
0.2041 0.3642 0.5000
0.2959 0.8642 0.5000
0.7041 0.1358 0.5000
0.7959 0.6358 0.5000
0.0587 0.1923 0.0000
0.1160 0.5446 0.0000
0.1368 0.6986 0.0000
0.2214 0.1194 0.3010
0.2214 0.1194 0.6990
0.2786 0.6194 0.3010
0.2786 0.6194 0.6990
0.3632 0.1986 0.0000
0.3840 0.0446 0.0000
0.4413 0.6923 0.0000
0.5587 0.3077 0.0000
0.6160 0.9554 0.0000
0.6368 0.8014 0.0000
0.7214 0.3806 0.3010
0.7214 0.3806 0.6990
0.7786 0.8806 0.3010
0.7786 0.8806 0.6990
0.8632 0.3014 0.0000
0.8840 0.4554 0.0000
0.9413 0.8077 0.0000


Entry 3:
Li2Pr2BPt4 | Alexandria | GGA-PBE | optimized geometry; SG = I4/mmm; total magnetization = 0.00 μB per formula unit; ΔE_f = -6.5 eV per formula unit; ρ = 10.80 g/cm³
1.0
-3.2097 3.2097 4.0555
3.2097 -3.2097 4.0555
3.2097 3.2097 -4.0555
Li Pr B Pt
2 2 1 4
Direct
0.1740 0.1740 0.0000
0.8260 0.8260 0.0000
0.2500 0.7500 0.5000
0.7500 0.2500 0.5000
0.5000 0.5000 0.0000
0.2661 0.2661 0.5322
0.2661 0.7339 0.0000
0.7339 0.2661 0.0000
0.7339 0.7339 0.4678